# 1
Density functional theory data (PBE-GGA) for a geometry-optimized Tm6GeAs3P2 structure.

Cell: 17.543 4.012 8.089 Å, 90.00 102.97 90.00°
Space group C2/m (No. 12)
One atom of each set of equivalent atoms:
Tm  0.003  0.000  0.255 [4 per cell]
Tm  0.168  0.500  0.091 [4 per cell]
Tm  0.169  0.500  0.579 [4 per cell]
Ge  0.000  0.500  0.000 [2 per cell]
As  0.000  0.500  0.500 [2 per cell]
As  0.166  0.000  0.833 [4 per cell]
P  0.167  0.000  0.335 [4 per cell]


# 2
Density functional theory data (PBE-GGA) for a geometry-optimized Tm4GeAs2P structure.

Cell: 6.984 4.005 7.060 Å, 90.00 109.10 90.00°
Space group P2/m (No. 10)
One atom of each set of equivalent atoms:
Tm  0.245  0.000  0.244 [2 per cell]
Tm  0.250  0.500  0.756 [2 per cell]
Ge  0.000  0.000  0.500 [1 per cell]
As  0.500  0.000  0.000 [1 per cell]
As  0.500  0.500  0.500 [1 per cell]
P  0.000  0.500  0.000 [1 per cell]


# 3
Density functional theory data (PBE-GGA) for a geometry-optimized Tm6Ge2AsP3 structure.

Cell: 17.752 3.934 8.186 Å, 90.00 106.72 90.00°
Space group C2/m (No. 12)
One atom of each set of equivalent atoms:
Tm  0.001  0.000  0.245 [4 per cell]
Tm  0.160  0.500  0.101 [4 per cell]
Tm  0.170  0.500  0.580 [4 per cell]
Ge  0.171  0.000  0.846 [4 per cell]
As  0.000  0.500  0.500 [2 per cell]
P  0.000  0.500  0.000 [2 per cell]
P  0.165  0.000  0.340 [4 per cell]


# 4
Density functional theory data (PBE-GGA) for a geometry-optimized Y4GeAs2P structure.

Cell: 7.096 4.071 7.167 Å, 90.00 109.11 90.00°
Space group P2/m (No. 10)
One atom of each set of equivalent atoms:
Y  0.245  0.000  0.244 [2 per cell]
Y  0.250  0.500  0.756 [2 per cell]
Ge  0.000  0.000  0.500 [1 per cell]
As  0.500  0.000  0.000 [1 per cell]
As  0.500  0.500  0.500 [1 per cell]
P  0.000  0.500  0.000 [1 per cell]


# 5
Density functional theory data (PBE-GGA) for a geometry-optimized ZnGeAsP structure.

Cell: 6.886 3.973 6.871 Å, 90.00 109.53 90.00°
Space group Cm (No. 8)
One atom of each set of equivalent atoms:
Zn  0.000  0.000  0.000 [2 per cell]
Ge  0.022  0.500  0.569 [2 per cell]
As  0.133  0.000  0.403 [2 per cell]
P  0.142  0.500  0.925 [2 per cell]


# 6
Density functional theory data (PBE-GGA) for a geometry-optimized ZnGeAsP structure.

Cell: 5.595 5.641 11.116 Å, 90.00 90.00 90.00°
Space group I2_12_12_1 (No. 24)
One atom of each set of equivalent atoms:
Zn  0.000  0.250  0.116 [4 per cell]
Ge  0.000  0.250  0.622 [4 per cell]
As  0.245  0.500  0.250 [4 per cell]
P  0.250  0.008  0.500 [4 per cell]


Magnetic moment readings, ordered: 0.000, 0.000, 0.000, 0.000, 0.000, 0.000 μB per atom
Formation energy from the elements readings, ordered: -16.58, -10.35, -15.06, -10.70, -0.60, -0.72 eV per formula unit